No. 1
This record from Alexandria describes crystalline Pr4TlSbC at its relaxed geometry. The functional is PBE.

raw formation energy = -0.474 eV/atom
total magnetic moment = 0.00 μB/cell

Cell lengths 7.166, 7.158, 8.996 Å; angles 90.00, 113.47, 90.00 degrees
Sites, in units of the cell vectors:
Pr: 0.913 0.250 0.826
Pr: 0.412 0.750 0.823
Pr: 0.087 0.750 0.174
Pr: 0.588 0.250 0.177
Pr: 0.500 0.500 0.500
Pr: 0.000 0.000 0.500
Pr: 0.500 0.000 0.500
Pr: 0.000 0.500 0.500
Tl: 0.112 0.250 0.223
Tl: 0.888 0.750 0.777
Sb: 0.611 0.750 0.222
Sb: 0.389 0.250 0.778
C: 0.252 0.750 0.503
C: 0.748 0.250 0.497

=====

No. 2
This record from Alexandria describes crystalline Ac2SiHgPd6 at its relaxed geometry. The functional is PBE.

raw formation energy = -0.696 eV/atom
total magnetic moment = 0.00 μB/cell

Cell lengths 6.546, 7.166, 7.156 Å; angles 46.42, 78.01, 97.54 degrees
Sites, in units of the cell vectors:
Ac: 0.732 0.257 0.525
Ac: 0.268 0.743 0.475
Si: 0.500 0.500 0.000
Hg: 0.000 0.000 0.000
Pd: 0.275 0.249 0.476
Pd: 0.897 0.746 0.850
Pd: 0.275 0.750 0.975
Pd: 0.725 0.250 0.025
Pd: 0.103 0.254 0.150
Pd: 0.725 0.751 0.524

=====

No. 3
This record from Alexandria describes crystalline PuMgIrAu at its relaxed geometry. The functional is PBE.

total DFT energy (no corrections) = -29.46 eV for the cell shown
total magnetic moment = 4.99 μB/cell

Cell lengths 4.817, 4.817, 4.817 Å; angles 60.00, 60.00, 60.00 degrees
Sites, in units of the cell vectors:
Mg: 0.250 0.250 0.250
Ir: 0.500 0.500 0.500
Au: 0.000 0.000 0.000
Pu: 0.750 0.750 0.750

=====

No. 4
This record from Alexandria describes crystalline CsAs3Se at its relaxed geometry. The functional is PBE.

raw formation energy = 1.958 eV/atom
offset from the most stable computed form = 1497.7 meV/atom
total magnetic moment = 1.22 μB/cell

Cell lengths 5.724, 5.724, 5.724 Å; angles 90.00, 90.00, 90.00 degrees
Sites, in units of the cell vectors:
Cs: 0.000 0.000 0.000
As: 0.000 0.500 0.000
As: 0.000 0.000 0.500
As: 0.500 0.000 0.000
Se: 0.500 0.500 0.500

=====

No. 5
This record from Alexandria describes crystalline Rb3TlCl at its relaxed geometry. The functional is PBE.

raw formation energy = -0.676 eV/atom
offset from the most stable computed form = 0.0 meV/atom
total magnetic moment = 0.00 μB/cell

Cell lengths 6.423, 6.423, 6.423 Å; angles 90.00, 90.00, 90.00 degrees
Sites, in units of the cell vectors:
Tl: 0.500 0.500 0.500
Rb: 0.000 0.500 0.000
Rb: 0.000 0.000 0.500
Rb: 0.500 0.000 0.000
Cl: 0.000 0.000 0.000

=====

No. 6
This record from Alexandria describes crystalline Al4CdAs at its relaxed geometry. The functional is PBE.

total DFT energy (no corrections) = -19.07 eV for the cell shown
total magnetic moment = 0.00 μB/cell

Cell lengths 5.440, 5.440, 5.440 Å; angles 60.00, 60.00, 60.00 degrees
Sites, in units of the cell vectors:
Al: 0.625 0.625 0.125
Al: 0.625 0.125 0.625
Al: 0.625 0.625 0.625
Al: 0.125 0.625 0.625
Cd: 0.000 0.000 0.000
As: 0.250 0.250 0.250

=====

No. 7
This record from Alexandria describes crystalline MgCoW2 at its relaxed geometry. The functional is PBE.

total DFT energy (no corrections) = -32.75 eV for the cell shown
total magnetic moment = 0.00 μB/cell

Cell lengths 5.029, 5.029, 2.681 Å; angles 90.00, 90.00, 117.47 degrees
Sites, in units of the cell vectors:
Co: 0.500 0.000 0.500
Mg: 0.000 0.500 0.500
W: 0.000 0.000 0.000
W: 0.500 0.500 0.000

=====

No. 8
This record from Alexandria describes crystalline NaSbTe2Ir at its relaxed geometry. The functional is PBE.

raw formation energy = 0.133 eV/atom
offset from the most stable computed form = 0.0 meV/atom
total magnetic moment = 0.00 μB/cell

Cell lengths 5.597, 5.597, 4.955 Å; angles 90.00, 90.00, 90.00 degrees
Sites, in units of the cell vectors:
Sb: 0.000 0.000 0.500
Ir: 0.000 0.000 0.000
Te: 0.000 0.500 0.000
Te: 0.500 0.000 0.000
Na: 0.500 0.500 0.500

=====

Q: Number 4 is which compound?
A: CsAs3Se